Computed, not measured: a geometry-optimized Ga2SnP structure at the PBE level of DFT.

abc: 4.8441 4.8441 4.8441
angles: 60.00 60.00 60.00
Sites, in units of the cell vectors:
Ga: 0.2500 0.2500 0.2500
Ga: 0.7500 0.7500 0.7500
Sn: 0.0000 0.0000 0.0000
P: 0.5000 0.5000 0.5000

Calculated values
total magnetization = 0.00 μB per formula unit
formation enthalpy at 0 K = 1.11 eV/f.u.
crystal system = cubic
final energy = -14.35 eV/cell

=====

Computed, not measured: a geometry-optimized GaSn2P structure at the PBE level of DFT.

abc: 5.0225 5.0225 5.0225
angles: 60.00 60.00 60.00
Sites, in units of the cell vectors:
Ga: 0.0000 0.0000 0.0000
Sn: 0.2500 0.2500 0.2500
Sn: 0.7500 0.7500 0.7500
P: 0.5000 0.5000 0.5000

Calculated values
total magnetization = 0.00 μB per formula unit
formation enthalpy at 0 K = 1.03 eV/f.u.
crystal system = cubic
final energy = -15.42 eV/cell

=====

Computed, not measured: a geometry-optimized Ga2SnP structure at the PBE level of DFT.

abc: 7.8648 7.8648 7.8648
angles: 30.28 30.28 30.28
Sites, in units of the cell vectors:
Ga: 0.0997 0.0997 0.0997
Ga: 0.9003 0.9003 0.9003
Sn: 0.5000 0.5000 0.5000
P: 0.0000 0.0000 0.0000

Calculated values
total magnetization = 0.00 μB per formula unit
formation enthalpy at 0 K = 1.91 eV/f.u.
crystal system = trigonal
final energy = -13.56 eV/cell

=====

Computed, not measured: a geometry-optimized GaSn2P structure at the PBE level of DFT.

abc: 7.4797 7.4797 7.4797
angles: 131.77 131.77 70.60
Sites, in units of the cell vectors:
Ga: 0.0000 0.0000 0.0000
Ga: 0.7500 0.2500 0.5000
Sn: 0.1296 0.6250 0.0046
Sn: 0.3750 0.3796 0.5046
Sn: 0.6204 0.1250 0.9954
Sn: 0.8750 0.8704 0.4954
P: 0.2500 0.7500 0.5000
P: 0.5000 0.5000 0.0000

Calculated values
total magnetization = 0.00 μB per formula unit
formation enthalpy at 0 K = -0.08 eV/f.u.
crystal system = tetragonal
final energy = -33.04 eV/cell

=====

Computed, not measured: a geometry-optimized GaSn2P structure at the PBE level of DFT.

abc: 9.5601 9.5601 9.5601
angles: 21.91 21.91 21.91
Sites, in units of the cell vectors:
Ga: 0.0000 0.0000 0.0000
Sn: 0.1046 0.1046 0.1046
Sn: 0.8954 0.8954 0.8954
P: 0.5000 0.5000 0.5000

Calculated values
total magnetization = 0.00 μB per formula unit
formation enthalpy at 0 K = 0.82 eV/f.u.
crystal system = trigonal
final energy = -15.63 eV/cell

=====

Computed, not measured: a geometry-optimized Ga2Sn2P structure at the PBE level of DFT.

abc: 6.3921 6.3921 5.6618
angles: 90.00 90.00 90.00
Sites, in units of the cell vectors:
Ga: 0.1397 0.3603 0.0000
Ga: 0.3603 0.8603 0.0000
Ga: 0.6397 0.1397 0.0000
Ga: 0.8603 0.6397 0.0000
Sn: 0.2115 0.2885 0.5000
Sn: 0.2885 0.7885 0.5000
Sn: 0.7115 0.2115 0.5000
Sn: 0.7885 0.7115 0.5000
P: 0.0000 0.0000 0.0000
P: 0.5000 0.5000 0.0000

Calculated values
total magnetization = 0.00 μB per formula unit
formation enthalpy at 0 K = 0.73 eV/f.u.
crystal system = tetragonal
final energy = -37.47 eV/cell